# 1
DFT (PBE) results for AlNiOs after structural relaxation.

```
AlNiOs
1.0
-1.327 1.848 4.022
1.327 -1.848 4.022
1.327 1.848 -4.022
Al Ni Os
1 1 1
Direct
0.000 0.000 0.000
0.663 0.663 0.000
0.330 0.330 0.000
```

Properties
Energy relative to the lowest polymorph listed for this composition in kcal/mol of atoms: 1.44
Symmetry: Imm2, No. 44
Final energy in eV per cell: -21.05
D(E_F) in states/eV/f.u.: 3.624
Total moment in μB/f.u.: 0.0
Energy relative to the elements in kJ/mol of formula units: -28

# 2
DFT (PBE) results for KPdBr after structural relaxation.

```
KPdBr
1.0
5.997 -2.406 0.000
5.997 2.406 0.000
-1.118 0.000 6.704
K Pd Br
2 2 2
Direct
0.000 0.000 0.000
0.239 0.239 0.621
0.547 0.547 0.649
0.960 0.960 0.475
0.421 0.421 0.332
0.694 0.694 0.953
```

Properties
Energy relative to the lowest polymorph listed for this composition in kcal/mol of atoms: 0.62
Symmetry: Cm, No. 8
Final energy in eV per cell: -20.03
D(E_F) in states/eV/f.u.: 0.000
Total moment in μB/f.u.: 0.0

# 3
DFT (PBE) results for YHoErMg after structural relaxation.

```
YHoErMg
1.0
3.570 0.000 0.000
0.000 3.570 0.000
0.000 0.000 9.227
Y Ho Er Mg
1 1 1 1
Direct
0.000 0.000 0.000
0.000 0.000 0.526
0.500 0.500 0.266
0.500 0.500 0.762
```

Properties
Energy relative to the lowest polymorph listed for this composition in kcal/mol of atoms: 0.00
Symmetry: P4mm, No. 99
Final energy in eV per cell: -17.31
D(E_F) in states/eV/f.u.: 5.446
Total moment in μB/f.u.: 0.0
Energy relative to the elements in kJ/mol of formula units: -11

# 4
DFT (PBE) results for TmZn5Ga after structural relaxation.

```
TmZn5Ga
1.0
8.659 0.000 0.000
0.000 5.261 0.000
0.000 0.000 10.399
Tm Zn Ga
4 20 4
Direct
0.244 0.250 0.064
0.256 0.750 0.564
0.744 0.250 0.436
0.756 0.750 0.936
0.053 0.750 0.090
0.070 0.010 0.308
0.070 0.490 0.308
0.085 0.250 0.522
0.194 0.250 0.752
0.306 0.750 0.252
0.415 0.750 0.022
0.430 0.510 0.808
0.430 0.990 0.808
0.447 0.250 0.590
0.553 0.750 0.410
0.570 0.010 0.192
0.570 0.490 0.192
0.585 0.250 0.978
0.694 0.250 0.748
0.806 0.750 0.248
0.915 0.750 0.478
0.930 0.510 0.692
0.930 0.990 0.692
0.947 0.250 0.910
0.134 0.750 0.853
0.366 0.250 0.353
0.634 0.750 0.647
0.866 0.250 0.147
```

Properties
Symmetry: Pnma, No. 62
Final energy in eV per cell: -61.07
D(E_F) in states/eV/f.u.: 1.929
Total moment in μB/f.u.: 0.0
Energy relative to the elements in kJ/mol of formula units: -135